No. 1
Entry from Alexandria via LeMat-Bulk: a relaxed Cs3CaTa crystal (PBE).

Calculated formation energy: 1.356 eV/atom

```
Cs3CaTa
1.0
7.305 0.000 0.000
0.000 7.305 0.000
0.000 0.000 7.305
Cs Ca Ta
3 1 1
Cartesian
0.000 0.000 3.652
0.000 3.652 0.000
3.652 0.000 0.000
3.652 3.652 3.652
0.000 0.000 0.000
```

=====

No. 2
Entry from Alexandria via LeMat-Bulk: a relaxed CsCaTa crystal (PBE).

Calculated formation energy: 0.548 eV/atom
Energy above the most stable polymorph in this dataset: 0.096 eV/atom

```
CsCaTa
1.0
4.633 0.000 0.000
-2.315 4.015 0.000
-0.231 -2.534 15.627
Cs Ca Ta
2 2 2
Cartesian
0.000 0.000 0.000
-0.009 -0.005 10.925
2.318 1.349 3.577
2.319 1.348 7.355
0.001 0.011 5.466
0.002 2.687 5.466
```

=====

No. 3
Entry from Alexandria via LeMat-Bulk: a relaxed CsCaTa crystal (PBE).

Calculated formation energy: 1.773 eV/atom
Energy above the most stable polymorph in this dataset: 1.321 eV/atom

```
CsCaTa
1.0
3.037 -5.003 0.000
3.037 5.003 0.000
0.000 0.000 7.550
Cs Ca Ta
2 2 2
Cartesian
3.037 3.470 5.662
3.037 -3.470 1.887
3.037 0.000 0.000
3.037 0.000 3.775
3.037 3.116 1.887
3.037 -3.116 5.662
```

=====

No. 4
Entry from Alexandria via LeMat-Bulk: a relaxed CsCaTa crystal (PBE).

Calculated formation energy: 0.452 eV/atom
Energy above the most stable polymorph in this dataset: 0.000 eV/atom

```
CsCaTa
1.0
3.685 0.000 0.000
-0.001 3.686 0.000
-1.823 -1.642 17.705
Cs Ca Ta
2 2 2
Cartesian
0.000 0.000 0.000
0.002 0.188 4.478
0.004 0.187 13.760
1.844 2.029 8.422
0.002 0.186 10.584
1.844 2.029 11.597
```

=====

No. 5
Entry from Alexandria via LeMat-Bulk: a relaxed CsCaTa crystal (PBE).

Calculated formation energy: 1.548 eV/atom
Energy above the most stable polymorph in this dataset: 1.097 eV/atom

```
CsCaTa
1.0
6.055 0.000 0.000
-3.027 5.243 0.000
0.000 0.000 3.294
Cs Ca Ta
1 1 1
Cartesian
0.000 0.000 0.000
0.000 3.496 1.647
3.027 1.748 1.647
```

=====

No. 6
Entry from Alexandria via LeMat-Bulk: a relaxed CsCaTa crystal (PBE).

Calculated formation energy: 1.831 eV/atom
Energy above the most stable polymorph in this dataset: 1.380 eV/atom

```
CsCaTa
1.0
0.000 4.116 4.116
4.116 0.000 4.116
4.116 4.116 0.000
Cs Ca Ta
1 1 1
Cartesian
0.000 0.000 0.000
4.116 4.116 4.116
6.174 6.174 6.174
```

=====

no.,total DFT energy (no corrections) (eV per cell)
1,-9.6
2,-26.1
3,-18.8
4,-26.7
5,-10.1
6,-9.2